Computed, not measured: a geometry-optimized La3InRu structure at the GGA-PBEsol level of DFT.

Output
The energy of formation from the pure elements is -0.271 eV/atom. The value obtained for the total magnetization is 0.0001 μB/atom. The calculation puts the energy relative to the lowest polymorph listed for this composition at 113.9 meV/atom. The space group is Pm-3m.

abc: 5.383 5.383 5.383
angles: 90.00 90.00 90.00
Fractional positions:
La 0.000 0.000 0.500
La 0.000 0.500 0.000
La 0.500 0.000 0.000
In 0.500 0.500 0.500
Ru 0.000 0.000 0.000

---

Computed, not measured: a geometry-optimized Na2Tl structure at the GGA-PBEsol level of DFT.

Output
The energy of formation from the pure elements is -0.113 eV/atom. The value obtained for the total magnetization is 0.0000 μB/atom. The space group is C222_1.

abc: 8.176 8.176 11.548
angles: 90.00 90.00 115.38
Fractional positions:
Na 0.050 0.783 0.082
Na 0.070 0.930 0.750
Na 0.101 0.507 0.329
Na 0.161 0.406 0.042
Na 0.217 0.950 0.418
Na 0.402 0.402 0.500
Na 0.406 0.161 0.958
Na 0.493 0.899 0.171
Na 0.507 0.101 0.671
Na 0.594 0.839 0.458
Na 0.598 0.598 0.000
Na 0.783 0.050 0.918
Na 0.839 0.594 0.542
Na 0.899 0.493 0.829
Na 0.930 0.070 0.250
Na 0.950 0.217 0.582
Tl 0.233 0.665 0.617
Tl 0.273 0.369 0.777
Tl 0.335 0.767 0.883
Tl 0.369 0.273 0.223
Tl 0.631 0.727 0.723
Tl 0.665 0.233 0.383
Tl 0.727 0.631 0.277
Tl 0.767 0.335 0.117

---

Computed, not measured: a geometry-optimized MgTl3I structure at the GGA-PBEsol level of DFT.

Output
The value obtained for the total magnetization is 0.0000 μB/atom. The space group is Pm-3m. The uncorrected formation energy is 0.0560 eV/atom.

abc: 5.557 5.557 5.557
angles: 90.00 90.00 90.00
Fractional positions:
Mg 0.000 0.000 0.000
Tl 0.000 0.000 0.500
Tl 0.000 0.500 0.000
Tl 0.500 0.000 0.000
I 0.500 0.500 0.500

---

Computed, not measured: a geometry-optimized NaCoBi2Br structure at the GGA-PBEsol level of DFT.

Output
The value obtained for the total magnetization is 0.4830 μB/atom. The space group is P4/mmm. The uncorrected formation energy is 1.0917 eV/atom.

abc: 5.474 5.474 5.031
angles: 90.00 90.00 90.00
Fractional positions:
Na 0.000 0.000 0.000
Co 0.500 0.500 0.500
Bi 0.000 0.500 0.000
Bi 0.500 0.000 0.000
Br 0.000 0.000 0.500

---

Computed, not measured: a geometry-optimized FeSbAs2Br structure at the GGA-PBEsol level of DFT.

Output
The value obtained for the total magnetization is 0.0014 μB/atom. The space group is P4/mmm. The uncorrected formation energy is 0.3542 eV/atom.

abc: 4.494 4.494 5.027
angles: 90.00 90.00 90.00
Fractional positions:
Fe 0.000 0.000 0.000
Sb 0.500 0.500 0.500
As 0.000 0.500 0.000
As 0.500 0.000 0.000
Br 0.000 0.000 0.500

---

Computed, not measured: a geometry-optimized K2SmCl5 structure at the GGA-PBEsol level of DFT.

Output
The value obtained for the total magnetization is 0.0000 μB/atom. The space group is Pnma. The uncorrected formation energy is -2.1689 eV/atom.

abc: 12.603 8.556 7.911
angles: 90.00 90.00 90.00
Fractional positions:
K 0.172 0.004 0.051
K 0.172 0.496 0.051
K 0.328 0.504 0.551
K 0.328 0.996 0.551
K 0.672 0.004 0.449
K 0.672 0.496 0.449
K 0.828 0.504 0.949
K 0.828 0.996 0.949
Sm 0.006 0.250 0.576
Sm 0.494 0.750 0.076
Sm 0.506 0.250 0.924
Sm 0.994 0.750 0.424
Cl 0.009 0.250 0.921
Cl 0.077 0.544 0.664
Cl 0.077 0.956 0.664
Cl 0.179 0.250 0.372
Cl 0.203 0.750 0.336
Cl 0.297 0.250 0.836
Cl 0.321 0.750 0.872
Cl 0.423 0.044 0.164
Cl 0.423 0.456 0.164
Cl 0.491 0.750 0.421
Cl 0.509 0.250 0.579
Cl 0.577 0.544 0.836
Cl 0.577 0.956 0.836
Cl 0.679 0.250 0.128
Cl 0.703 0.750 0.164
Cl 0.797 0.250 0.664
Cl 0.821 0.750 0.628
Cl 0.923 0.044 0.336
Cl 0.923 0.456 0.336
Cl 0.991 0.750 0.079

---

Computed, not measured: a geometry-optimized ZnMoBr2 structure at the GGA-PBEsol level of DFT.

Output
The value obtained for the total magnetization is 0.4250 μB/atom. The space group is Cm. The uncorrected formation energy is 0.1193 eV/atom.

abc: 5.070 5.070 7.276
angles: 110.63 110.63 36.44
Fractional positions:
Zn 0.000 0.000 0.000
Mo 0.274 0.274 0.000
Br 0.656 0.656 0.706
Br 0.820 0.820 0.294

---

Computed, not measured: a geometry-optimized KLaZn2 structure at the GGA-PBEsol level of DFT.

Output
The energy of formation from the pure elements is 0.127 eV/atom. The value obtained for the total magnetization is 0.0000 μB/atom. The space group is P4mm.

abc: 3.433 3.433 9.481
angles: 90.00 90.00 90.00
Fractional positions:
K 0.000 0.000 0.000
La 0.500 0.500 0.397
Zn 0.000 0.000 0.616
Zn 0.500 0.500 0.732

---

Computed, not measured: a geometry-optimized K2CrRu structure at the GGA-PBEsol level of DFT.

Output
The energy of formation from the pure elements is 1.441 eV/atom. The value obtained for the total magnetization is 0.7582 μB/atom. The calculation puts the energy relative to the lowest polymorph listed for this composition at 0.0 meV/atom. The space group is I4/mmm.

abc: 6.249 6.249 6.249
angles: 143.68 143.68 52.30
Fractional positions:
K 0.250 0.750 0.500
K 0.750 0.250 0.500
Cr 0.000 0.000 0.000
Ru 0.500 0.500 0.000

---

Computed, not measured: a geometry-optimized BaAsAu structure at the GGA-PBEsol level of DFT.

Output
The energy of formation from the pure elements is -0.921 eV/atom. The value obtained for the total magnetization is 0.0000 μB/atom. The space group is P6_3/mmc.

abc: 4.528 4.528 9.052
angles: 90.00 90.00 120.00
Fractional positions:
Ba 0.000 0.000 0.000
Ba 0.000 0.000 0.500
As 0.333 0.667 0.250
As 0.667 0.333 0.750
Au 0.333 0.667 0.750
Au 0.667 0.333 0.250

---

Computed, not measured: a geometry-optimized BeAlHg structure at the GGA-PBEsol level of DFT.

Output
The energy of formation from the pure elements is 0.304 eV/atom. The value obtained for the total magnetization is 0.0000 μB/atom. The calculation puts the energy relative to the lowest polymorph listed for this composition at 0.0 meV/atom. The space group is I4mm.

abc: 6.068 6.068 6.068
angles: 152.59 152.59 39.16
Fractional positions:
Be 0.000 0.000 0.000
Al 0.366 0.366 0.000
Hg 0.660 0.660 0.000

---

Computed, not measured: a geometry-optimized SrAs2Br structure at the GGA-PBEsol level of DFT.

Output
The value obtained for the total magnetization is 0.0003 μB/atom. The calculation puts the energy relative to the lowest polymorph listed for this composition at 717.7 meV/atom. The space group is Fm-3m. The uncorrected formation energy is 0.0279 eV/atom.

abc: 5.199 5.199 5.199
angles: 60.00 60.00 60.00
Fractional positions:
Sr 0.000 0.000 0.000
As 0.250 0.250 0.250
As 0.750 0.750 0.750
Br 0.500 0.500 0.500

---

| no. | calculated total energy (eV/atom) |
| --- | --- |
| 1 | -6.110 |
| 2 | -1.923 |
| 3 | -2.219 |
| 4 | -2.824 |
| 5 | -4.766 |
| 6 | -4.344 |
| 7 | -4.153 |
| 8 | -2.284 |
| 9 | -4.229 |
| 10 | -4.648 |
| 11 | -2.582 |
| 12 | -3.453 |